# NaSr2MoO5 | Alexandria via LeMat-Bulk | PBE with a Hubbard U | optimized geometry
# **Space-group type**: P4/mbm
# **Volume**: 148 Å³/f.u.
# **VASP energy**: -6.000 eV/atom
data_NaSr2MoO5
_cell_length_a 6.1421
_cell_length_b 6.9526
_cell_length_c 6.9526
_cell_angle_alpha 90.00
_cell_angle_beta 90.00
_cell_angle_gamma 90.00
_space_group_name_H-M_alt 'P 1'
_space_group_IT_number 1
loop_
_space_group_symop_operation_xyz
'x,y,z'
loop_
_atom_site_label
_atom_site_fract_x
_atom_site_fract_y
_atom_site_fract_z
_atom_site_occupancy
Na1 0.0000 0.5000 0.5000 1
Na2 0.0000 0.0000 0.0000 1
Sr1 0.5000 0.6829 0.1829 1
Sr2 0.5000 0.1829 0.3171 1
Sr3 0.5000 0.8171 0.6829 1
Sr4 0.5000 0.3171 0.8171 1
Mo1 0.0000 0.0000 0.5000 1
Mo2 0.0000 0.5000 0.0000 1
O1 0.5000 0.5000 0.5000 1
O2 0.5000 0.0000 0.0000 1
O3 0.2203 0.1345 0.6345 1
O4 0.2203 0.8655 0.3655 1
O5 0.2203 0.3655 0.1345 1
O6 0.2203 0.6345 0.8655 1
O7 0.7797 0.1345 0.6345 1
O8 0.7797 0.6345 0.8655 1
O9 0.7797 0.8655 0.3655 1
O10 0.7797 0.3655 0.1345 1